The following is a GGA-PBE calculation of a relaxed structure of MoP2Au, from Alexandria via LeMat-Bulk.

Structure (POSCAR):
```
MoP2Au
1.0
2.955 0.000 0.000
0.000 2.955 0.000
0.000 0.000 7.566
Mo P Au
1 2 1
Direct
0.000 0.000 0.000 Mo
0.000 0.000 0.484 P
0.500 0.500 0.173 P
0.500 0.500 0.726 Au
```

final energy	-5.929	eV/atom
distance to the lowest polymorph of the same formula	336	meV per atom
density of states at the Fermi level	2.81	states/eV/cell
crystal system	tetragonal
ΔH_f (0 K)	1.21	eV per formula unit